The following is a DFT calculation (PBE) of a relaxed Ac2B3SbRh12 crystal.

The theoretical density is 10.13 g/cm³. The formation energy (no corrections) is -165 meV per atom. As for the total energy: -6.86 eV/atom.

The space group is R-3m (No. 166, hexagonal axes) and the conventional cell measures 7.6101, 7.6101 and 18.0696 Å, with angles of 90.00, 90.00 and 120.00 degrees. Symmetry generates all atoms from Ac at (0.0000, 0.0000, 0.0974), B at (0.0000, 0.5000, 0.0000), Sb at (0.0000, 0.0000, 0.5000), Rh at (0.0507, 0.5253, 0.8847) and Rh at (0.0759, 0.5379, 0.3119).